A plane-wave DFT calculation with PBE with a Hubbard U was carried out for an optimized crystal structure of CuHg2WF.

## Properties
Calculated total energy: -2.4306 eV per atom
Symmetry: P4/mmm
ρ: 9.62 g/cm3
V: 23.05 Å³ per atom

Cell: 5.253 4.178 5.253 Å, 90.00 90.00 90.00°
Last column: magnetic moment on the atom in μB.
Fractional positions:
Hg: 0.500 0.000 0.000  0.00
Cu: 0.500 0.500 0.500  0.00
F: 0.000 0.000 0.000  0.06
W: 0.000 0.500 0.000  3.44
Hg: 0.000 0.000 0.500  0.02